DFT (PBE) results for a relaxed structure of GePAuO2.

Geometry as CIF:
```
data_GePAuO2
_chemical_formula_sum 'Ge1 P1 Au1 O2'
_cell_length_a 4.018
_cell_length_b 4.018
_cell_length_c 4.966
_cell_angle_alpha 90.00
_cell_angle_beta 90.00
_cell_angle_gamma 90.00
_space_group_name_H-M_alt 'P 4/m m m'
_space_group_IT_number 123
_space_group_name_Hall '-P 4 2'
loop_
_atom_site_label
_atom_site_fract_x
_atom_site_fract_y
_atom_site_fract_z
_atom_site_occupancy
Ge1 0.000 0.000 0.000 1
P1 0.500 0.500 0.000 1
Au1 0.500 0.500 0.500 1
O1 0.000 0.500 0.500 1
```

DFT (PBE) results for a relaxed structure of GePAuO2.

Geometry as CIF:
```
data_GePAuO2
_chemical_formula_sum 'Ge1 P1 Au1 O2'
_cell_length_a 3.603
_cell_length_b 3.603
_cell_length_c 5.748
_cell_angle_alpha 90.00
_cell_angle_beta 90.00
_cell_angle_gamma 90.00
_space_group_name_H-M_alt 'P 4/m m m'
_space_group_IT_number 123
_space_group_name_Hall '-P 4 2'
loop_
_atom_site_label
_atom_site_fract_x
_atom_site_fract_y
_atom_site_fract_z
_atom_site_occupancy
Ge1 0.000 0.000 0.000 1
P1 0.000 0.000 0.500 1
Au1 0.500 0.500 0.500 1
O1 0.000 0.500 0.000 1
```

DFT (PBE) results for a relaxed structure of PaGeAuO6.

Geometry as CIF:
```
data_PaGeAuO6
_chemical_formula_sum 'Pa2 Ge2 Au2 O12'
_cell_length_a 5.4634
_cell_length_b 5.4634
_cell_length_c 9.0169
_cell_angle_alpha 90.00
_cell_angle_beta 90.00
_cell_angle_gamma 120.00
_space_group_name_H-M_alt 'P -3 1 c'
_space_group_IT_number 163
_space_group_name_Hall '-P 3 2c'
loop_
_atom_site_label
_atom_site_fract_x
_atom_site_fract_y
_atom_site_fract_z
_atom_site_occupancy
Pa1 0.3333 0.6667 0.2500 1
Ge1 0.3333 0.6667 0.7500 1
Au1 0.0000 0.0000 0.0000 1
O1 0.0344 0.3704 0.6331 1
```

DFT (PBE) results for a relaxed structure of GePtAuO.

Geometry as CIF:
```
data_GePtAuO
_chemical_formula_sum 'Ge1 Pt1 Au1 O1'
_cell_length_a 2.808
_cell_length_b 4.330
_cell_length_c 5.631
_cell_angle_alpha 76.43
_cell_angle_beta 75.91
_cell_angle_gamma 89.89
_space_group_name_H-M_alt 'P 1'
_space_group_IT_number 1
_space_group_name_Hall 'P 1'
loop_
_atom_site_label
_atom_site_fract_x
_atom_site_fract_y
_atom_site_fract_z
_atom_site_occupancy
Ge1 0.000 0.000 0.000 1
Pt1 0.354 0.577 0.298 1
Au1 0.701 0.905 0.600 1
O1 0.493 0.291 0.013 1
```

| no. | spin magnetization (μB per atom) | E_form (uncorrected) (eV per formula unit) | theoretical density (Mg/m³) |
| --- | --- | --- | --- |
| 1 | 0.0000 | 2.6 | 6.89 |
| 2 | 0.0862 | -1.2 | 7.40 |
| 3 | 0.1863 | -14.6 | 8.50 |
| 4 | 0.0000 | -1.4 | 12.39 |